Entry 1:
Compound: AlTe2Pt
Source: the Alexandria database
Functional: PBE
Structure: optimized geometry

a = 8.2101 Å, b = 8.2101 Å, c = 8.2101 Å
α = 155.30°, β = 152.77°, γ = 37.09°
Closest atoms and distances in Å follow each position.
Fractional coordinates of all 4 atoms:
Te 0.2486 0.7486 0.5000  4 Pt 2.75
Te 0.9880 0.9880 0.0000  4 Al 2.90
Al 0.5693 0.5693 0.0000  2 Pt 2.62, 4 Te 2.90
Pt 0.6942 0.1942 0.5000  2 Al 2.62, 4 Te 2.75

Output
Total moment in μB/f.u.: 0.00
Space group: Imm2, No. 44
Electronic total energy in eV per atom: -4.162
Uncorrected formation energy in eV per atom: -0.1451

Entry 2:
Compound: BaLi2ScSe
Source: the Alexandria database
Functional: PBE
Structure: optimized geometry

a = 5.1457 Å, b = 7.1230 Å, c = 5.1457 Å
α = 90.00°, β = 90.00°, γ = 90.00°
Closest atoms and distances in Å follow each position.
Fractional coordinates of all 5 atoms:
Se 0.5000 0.5000 0.5000  4 Ba 3.64
Li 0.5000 0.0000 0.0000  2 Sc 2.57
Li 0.0000 0.0000 0.5000  2 Sc 2.57
Ba 0.0000 0.5000 0.0000  2 Sc 3.56, 4 Se 3.64
Sc 0.0000 0.0000 0.0000  4 Li 2.57

Output
Total moment in μB/f.u.: 2.69
Space group: P4/mmm, No. 123
Electronic total energy in eV per atom: -2.629
Uncorrected formation energy in eV per atom: 0.4847

Entry 3:
Compound: CrCo2Ru
Source: the Alexandria database
Functional: PBE
Structure: optimized geometry

a = 2.9809 Å, b = 2.9809 Å, c = 5.4046 Å
α = 90.00°, β = 90.00°, γ = 90.00°
Closest atoms and distances in Å follow each position.
Fractional coordinates of all 4 atoms:
Co 0.5000 0.5000 0.2400  4 Co 2.39, 4 Cr 2.48, 1 Ru 2.67
Co 0.0000 0.0000 0.0317  4 Co 2.39, 1 Cr 2.43, 4 Ru 2.61
Cr 0.0000 0.0000 0.4819  5 Co 2.43-2.48, 4 Ru 2.55
Ru 0.5000 0.5000 0.7463  4 Cr 2.55, 6 Co 2.61-2.74

Output
Total moment in μB/f.u.: 1.67
Polymorph energy (0 for the lowest one) in meV per atom: 114
Space group: P4mm, No. 99
Electronic total energy in eV per atom: -8.112
ΔE_f in meV/atom: 166

Entry 4:
Compound: TaMnInRu
Source: the Alexandria database
Functional: PBE
Structure: optimized geometry

a = 4.4577 Å, b = 4.4577 Å, c = 4.4577 Å
α = 60.00°, β = 60.00°, γ = 60.00°
Closest atoms and distances in Å follow each position.
Fractional coordinates of all 4 atoms:
Ru 0.2500 0.2500 0.2500  4 In 2.73, 4 Ta 2.73
Mn 0.7500 0.7500 0.7500  4 Ta 2.73, 4 In 2.73
Ta 0.5000 0.5000 0.5000  4 Ru 2.73, 4 Mn 2.73
In 0.0000 0.0000 0.0000  4 Mn 2.73, 4 Ru 2.73

Output
Total moment in μB/f.u.: 0.97
Space group: F-43m, No. 216
Electronic total energy in eV per atom: -8.329
ΔE_f in meV/atom: -70

Entry 5:
Compound: TiSb3N
Source: the Alexandria database
Functional: PBE
Structure: optimized geometry

a = 4.6663 Å, b = 4.6663 Å, c = 4.6663 Å
α = 90.00°, β = 90.00°, γ = 90.00°
Closest atoms and distances in Å follow each position.
Fractional coordinates of all 5 atoms:
N 0.0000 0.0000 0.0000  6 Sb 2.33
Sb 0.0000 0.5000 0.0000  2 N 2.33
Sb 0.0000 0.0000 0.5000  2 N 2.33
Sb 0.5000 0.0000 0.0000  2 N 2.33
Ti 0.5000 0.5000 0.5000  12 Sb 3.30

Output
Total moment in μB/f.u.: 0.00
Polymorph energy (0 for the lowest one) in meV per atom: 0
Space group: Pm-3m, No. 221
Electronic total energy in eV per atom: -5.233
Uncorrected formation energy in eV per atom: 0.4846

Entry 6:
Compound: Mg2InCl
Source: the Alexandria database
Functional: PBE
Structure: optimized geometry

a = 3.4537 Å, b = 4.6885 Å, c = 5.9933 Å
α = 90.00°, β = 90.00°, γ = 90.00°
Closest atoms and distances in Å follow each position.
Fractional coordinates of all 4 atoms:
Cl 0.0000 0.0000 0.3680  1 Mg 2.48
Mg 0.5000 0.5000 0.3455  4 Cl 2.91, 2 In 2.92-3.08
Mg 0.0000 0.0000 0.9543  1 Cl 2.48
In 0.5000 0.5000 0.8322  6 Mg 2.92-3.08

Output
Total moment in μB/f.u.: 0.00
Polymorph energy (0 for the lowest one) in meV per atom: 97
Space group: Pmm2, No. 25
Electronic total energy in eV per atom: -2.405
Uncorrected formation energy in eV per atom: -0.4615

Entry 7:
Compound: MgIrPt2
Source: the Alexandria database
Functional: PBE
Structure: optimized geometry

a = 5.5227 Å, b = 5.5227 Å, c = 5.5227 Å
α = 150.81°, β = 129.35°, γ = 59.53°
Closest atoms and distances in Å follow each position.
Fractional coordinates of all 4 atoms:
Pt 0.7455 0.2455 0.5000  2 Ir 2.68, 4 Mg 2.74, 4 Pt 2.78-2.79
Pt 0.9975 0.9975 0.0000  4 Ir 2.74, 4 Pt 2.78-2.79, 2 Mg 2.80
Mg 0.2505 0.7505 0.5000  6 Pt 2.74-2.80, 2 Mg 2.78, 2 Ir 2.82
Ir 0.5065 0.5065 0.0000  6 Pt 2.68-2.74, 2 Ir 2.78, 2 Mg 2.82

Output
Total moment in μB/f.u.: 0.00
Space group: Imm2, No. 44
Electronic total energy in eV per atom: -5.900
ΔE_f in meV/atom: -265

Entry 8:
Compound: KRbH2
Source: the Alexandria database
Functional: PBE
Structure: optimized geometry

a = 3.4851 Å, b = 3.4851 Å, c = 6.9754 Å
α = 90.00°, β = 90.00°, γ = 90.00°
Closest atoms and distances in Å follow each position.
Fractional coordinates of all 4 atoms:
Rb 0.5000 0.5000 0.5000  8 H 3.05
K 0.5000 0.5000 0.0000  8 H 2.99
H 0.0000 0.0000 0.2416  4 K 2.99, 4 Rb 3.05
H 0.0000 0.0000 0.7584  4 K 2.99, 4 Rb 3.05

Output
Total moment in μB/f.u.: 0.00
Polymorph energy (0 for the lowest one) in meV per atom: 74
Space group: P4/mmm, No. 123
Electronic total energy in eV per atom: -2.307

What is the formula in the third record? CrCo2Ru

What is the electronic total energy in the second record? -2.629 eV per atom

The lowest electronic total energy belongs to which entry? TaMnInRu